No. 1
## Zr2CrAg (GGA-PBE)

Data for an optimized crystal structure of Zr2CrAg.

abc: 3.2102 3.2239 7.3010
angles: 90.00 90.00 90.00
Fractional positions:
Zr  0.0000  0.0000  0.2149
Zr  0.0000  0.0000  0.7851
Cr  0.5000  0.5000  0.0000
Ag  0.5000  0.5000  0.5000

## Properties
**Energy of formation from the pure elements**: 0.121 eV/f.u.
**Space-group type**: Pmmm, No. 47
**Excess energy over the best structure of this formula in the dataset**: 0.0000 eV per atom
**Calculated volume**: 18.890 Å³ per atom

***

No. 2
## ZnSe (GGA-PBE)

Data for an optimized crystal structure of ZnSe.

abc: 11.3533 3.9731 6.9316
angles: 90.00 90.00 90.00
Fractional positions:
Zn  0.0000  0.0471  0.0000
Zn  0.2138  0.3340  0.2010
Zn  0.2862  0.6660  0.7010
Zn  0.5000  0.9529  0.5000
Zn  0.7138  0.6660  0.7010
Zn  0.7862  0.3340  0.2010
Se  0.0000  0.5555  0.2259
Se  0.1965  0.1627  0.8512
Se  0.3035  0.8373  0.3512
Se  0.5000  0.4445  0.7259
Se  0.6965  0.8373  0.3512
Se  0.8035  0.1627  0.8512

## Properties
**Space-group type**: Pmn2_1, No. 31
**Raw formation energy**: -541 meV/atom
**Calculated volume**: 26.056 Å³ per atom

***

No. 3
## Si2AsCl (GGA-PBE)

Data for an optimized crystal structure of Si2AsCl.

abc: 3.1114 3.1114 8.2197
angles: 90.00 90.00 90.00
Fractional positions:
Si  0.0000  0.0000  0.0000
Si  0.5000  0.5000  0.1911
As  0.0000  0.0000  0.3722
Cl  0.5000  0.5000  0.7905

## Properties
**Space-group type**: P4mm, No. 99
**Excess energy over the best structure of this formula in the dataset**: 0.3053 eV per atom
**Raw formation energy**: 255 meV/atom
**Calculated volume**: 19.893 Å³ per atom

***

No. 4
## ZnIn5 (GGA-PBE)

Data for an optimized crystal structure of ZnIn5.

abc: 13.3480 3.4387 6.8419
angles: 90.00 104.79 90.00
Fractional positions:
Zn  0.0000  0.0000  0.0000
Zn  0.5000  0.5000  0.0000
In  0.0000  0.0000  0.5000
In  0.1548  0.5000  0.8472
In  0.1655  0.5000  0.3232
In  0.3345  0.0000  0.6768
In  0.3452  0.0000  0.1528
In  0.5000  0.5000  0.5000
In  0.6548  0.0000  0.8472
In  0.6655  0.0000  0.3232
In  0.8345  0.5000  0.6768
In  0.8452  0.5000  0.1528

## Properties
**Energy of formation from the pure elements**: 0.275 eV/f.u.
**Space-group type**: C2/m, No. 12
**Calculated volume**: 25.303 Å³ per atom

***

No. 5
## NaHg2SeI (GGA-PBE)

Data for an optimized crystal structure of NaHg2SeI.

abc: 5.4735 5.4735 5.7612
angles: 90.00 90.00 90.00
Fractional positions:
Na  0.0000  0.0000  0.0000
Hg  0.0000  0.5000  0.5000
Hg  0.5000  0.0000  0.5000
Se  0.0000  0.0000  0.5000
I  0.5000  0.5000  0.0000

## Properties
**Space-group type**: P4/mmm, No. 123
**Raw formation energy**: -434 meV/atom
**Calculated volume**: 34.521 Å³ per atom

***

No. 6
## ZrCuSb4 (GGA-PBE)

Data for an optimized crystal structure of ZrCuSb4.

abc: 6.0528 6.0528 6.0528
angles: 60.00 60.00 60.00
Fractional positions:
Zr  0.0000  0.0000  0.0000
Cu  0.7500  0.7500  0.7500
Sb  0.3752  0.3752  0.3752
Sb  0.3752  0.3752  0.8745
Sb  0.3752  0.8745  0.3752
Sb  0.8745  0.3752  0.3752

## Properties
**Space-group type**: F-43m, No. 216
**Raw formation energy**: 545 meV/atom
**Calculated volume**: 26.134 Å³ per atom

***

No. 7
## BeIrC3 (GGA-PBE)

Data for an optimized crystal structure of BeIrC3.

abc: 3.9781 3.9781 3.9781
angles: 90.00 90.00 90.00
Fractional positions:
Be  0.0000  0.0000  0.0000
Ir  0.5000  0.5000  0.5000
C  0.0000  0.5000  0.5000
C  0.5000  0.0000  0.5000
C  0.5000  0.5000  0.0000

## Properties
**Energy of formation from the pure elements**: 12.258 eV/f.u.
**Space-group type**: Pm-3m, No. 221
**Excess energy over the best structure of this formula in the dataset**: 0.0217 eV per atom
**Calculated volume**: 12.591 Å³ per atom

***

No. 8
## PuCdSn2 (GGA-PBE)

Data for an optimized crystal structure of PuCdSn2.

abc: 7.4408 7.4408 7.4408
angles: 90.00 90.00 90.00
Fractional positions:
Pu  0.0000  0.0000  0.0000
Pu  0.0000  0.5000  0.5000
Pu  0.5000  0.0000  0.5000
Pu  0.5000  0.5000  0.0000
Cd  0.0000  0.0000  0.5000
Cd  0.0000  0.5000  0.0000
Cd  0.5000  0.0000  0.0000
Cd  0.5000  0.5000  0.5000
Sn  0.2500  0.2500  0.2500
Sn  0.2500  0.2500  0.7500
Sn  0.2500  0.7500  0.2500
Sn  0.2500  0.7500  0.7500
Sn  0.7500  0.2500  0.2500
Sn  0.7500  0.2500  0.7500
Sn  0.7500  0.7500  0.2500
Sn  0.7500  0.7500  0.7500

## Properties
**Energy of formation from the pure elements**: -0.440 eV/f.u.
**Space-group type**: Fm-3m, No. 225
**Excess energy over the best structure of this formula in the dataset**: 0.1941 eV per atom
**Calculated volume**: 25.748 Å³ per atom

***

No. 9
## Ac2TlCd2 (GGA-PBE)

Data for an optimized crystal structure of Ac2TlCd2.

abc: 6.6851 6.6851 10.6724
angles: 109.46 109.46 45.90
Fractional positions:
Ac  0.0957  0.0957  0.3770
Ac  0.1661  0.1661  0.0521
Ac  0.8339  0.8339  0.9479
Ac  0.9043  0.9043  0.6230
Tl  0.2289  0.2289  0.7270
Tl  0.7711  0.7711  0.2730
Cd  0.3981  0.3981  0.3742
Cd  0.4992  0.4992  0.1424
Cd  0.5008  0.5008  0.8576
Cd  0.6019  0.6019  0.6258

## Properties
**Energy of formation from the pure elements**: -1.436 eV/f.u.
**Space-group type**: C2/m, No. 12
**Excess energy over the best structure of this formula in the dataset**: 0.0114 eV per atom
**Calculated volume**: 31.930 Å³ per atom

***

No. 10
## Tl3CS (GGA-PBE)

Data for an optimized crystal structure of Tl3CS.

abc: 4.9763 4.9763 4.9763
angles: 90.00 90.00 90.00
Fractional positions:
Tl  0.0000  0.0000  0.5000
Tl  0.0000  0.5000  0.0000
Tl  0.5000  0.0000  0.0000
C  0.0000  0.0000  0.0000
S  0.5000  0.5000  0.5000

## Properties
**Space-group type**: Pm-3m, No. 221
**Excess energy over the best structure of this formula in the dataset**: 0.0000 eV per atom
**Raw formation energy**: 781 meV/atom
**Calculated volume**: 24.646 Å³ per atom

***

No. 11
## LiAcIn2 (GGA-PBE)

Data for an optimized crystal structure of LiAcIn2.

abc: 3.7314 3.7314 7.7914
angles: 90.00 90.00 90.00
Fractional positions:
Li  0.0000  0.0000  0.0000
Ac  0.0000  0.0000  0.5000
In  0.5000  0.5000  0.1953
In  0.5000  0.5000  0.8047

## Properties
**Energy of formation from the pure elements**: -1.368 eV/f.u.
**Space-group type**: P4/mmm, No. 123
**Calculated volume**: 27.121 Å³ per atom

***

No. 12
## PuBiH2 (GGA-PBE)

Data for an optimized crystal structure of PuBiH2.

abc: 3.6731 3.6731 16.5061
angles: 90.00 90.00 120.00
Fractional positions:
Pu  0.0000  0.0000  0.0000
Pu  0.3333  0.6667  0.6667
Pu  0.6667  0.3333  0.3333
Bi  0.0000  0.0000  0.5000
Bi  0.3333  0.6667  0.1667
Bi  0.6667  0.3333  0.8333
H  0.0000  0.0000  0.3051
H  0.0000  0.0000  0.6949
H  0.3333  0.6667  0.3616
H  0.3333  0.6667  0.9718
H  0.6667  0.3333  0.0282
H  0.6667  0.3333  0.6384

## Properties
**Space-group type**: R-3m, No. 166
**Excess energy over the best structure of this formula in the dataset**: 0.0018 eV per atom
**Calculated volume**: 16.071 Å³ per atom